# VInB2F8, optimized geometry, DFT PBE with a Hubbard U
# - V: 16.5 Å³ per atom
# - Total magnetic moment: 3.87 μB/cell
# - Space group: R-3, No. 148
# - D(E_F): 0.324 states/eV per atom
# - Total DFT energy (no corrections): -5.60 eV/atom
data_VInB2F8
_chemical_formula_sum 'V1 In1 B2 F8'
_cell_length_a 5.266
_cell_length_b 5.266
_cell_length_c 8.787
_cell_angle_alpha 72.56
_cell_angle_beta 72.56
_cell_angle_gamma 60.00
_symmetry_space_group_name_H-M 'P 1'
_symmetry_Int_Tables_number 1
_symmetry_space_group_name_Hall 'P 1'
loop_
_atom_site_label
_atom_site_fract_x
_atom_site_fract_y
_atom_site_fract_z
_atom_site_occupancy
F1 0.222 0.068 0.145 1
F2 0.791 0.791 0.626 1
F3 0.068 0.565 0.145 1
F4 0.565 0.222 0.145 1
F5 0.435 0.778 0.855 1
F6 0.932 0.435 0.855 1
F7 0.209 0.209 0.374 1
F8 0.778 0.932 0.855 1
B1 0.736 0.736 0.793 1
B2 0.264 0.264 0.207 1
In1 0.500 0.500 0.500 1
V1 0.000 0.000 0.000 1